LiFeP4O12 | GGA+U | optimized geometry Values from VASP.

The structure in Quantum ESPRESSO input format:
```
&SYSTEM
  ibrav = 0, nat = 72, ntyp = 4
/
ATOMIC_SPECIES
Li 6.94 Li.upf
Fe 55.84 Fe.upf
P 30.97 P.upf
O 16.00 O.upf
ATOMIC_POSITIONS crystal
Li 0.0030 0.7500 0.0000
Li 0.5030 0.7500 0.5000
Li 0.4970 0.2500 0.5000
Li 0.9970 0.2500 0.0000
Fe 0.8713 0.7500 0.5000
Fe 0.1287 0.2500 0.5000
Fe 0.6287 0.2500 0.0000
Fe 0.3713 0.7500 0.0000
P 0.4690 0.4905 0.8478
P 0.5310 0.9905 0.8478
P 0.9690 0.4905 0.6522
P 0.1770 0.9938 0.8638
P 0.1770 0.5062 0.1362
P 0.8230 0.0062 0.1362
P 0.4690 0.0095 0.1522
P 0.5310 0.5095 0.1522
P 0.0310 0.5095 0.3478
P 0.9690 0.0095 0.3478
P 0.3230 0.0062 0.3638
P 0.6770 0.5062 0.3638
P 0.3230 0.4938 0.6362
P 0.6770 0.9938 0.6362
P 0.0310 0.9905 0.6522
P 0.8230 0.4938 0.8638
O 0.8745 0.8780 0.3733
O 0.4674 0.3724 0.9279
O 0.5326 0.8724 0.9279
O 0.8089 0.3660 0.9366
O 0.1911 0.6340 0.0634
O 0.8089 0.1340 0.0634
O 0.4674 0.1276 0.0721
O 0.5326 0.6276 0.0721
O 0.0938 0.3773 0.0993
O 0.9062 0.8773 0.0993
O 0.3745 0.8780 0.1267
O 0.6255 0.3780 0.1267
O 0.3516 0.4655 0.1801
O 0.6484 0.9655 0.1801
O 0.0950 0.5739 0.2400
O 0.9050 0.0739 0.2400
O 0.4050 0.0739 0.2600
O 0.5950 0.5739 0.2600
O 0.1484 0.9655 0.3199
O 0.8516 0.4655 0.3199
O 0.1255 0.3780 0.3733
O 0.1911 0.8660 0.9366
O 0.4062 0.8773 0.4007
O 0.5938 0.3773 0.4007
O 0.0326 0.6276 0.4279
O 0.9674 0.1276 0.4279
O 0.3089 0.1340 0.4366
O 0.6911 0.6340 0.4366
O 0.3089 0.3660 0.5634
O 0.6911 0.8660 0.5634
O 0.0326 0.8724 0.5721
O 0.9674 0.3724 0.5721
O 0.4062 0.6227 0.5993
O 0.5938 0.1227 0.5993
O 0.1255 0.1220 0.6267
O 0.8745 0.6220 0.6267
O 0.1484 0.5345 0.6801
O 0.8516 0.0345 0.6801
O 0.4050 0.4261 0.7400
O 0.5950 0.9261 0.7400
O 0.0950 0.9261 0.7600
O 0.9050 0.4261 0.7600
O 0.3516 0.0345 0.8199
O 0.6484 0.5345 0.8199
O 0.3745 0.6220 0.8733
O 0.9062 0.6227 0.9007
O 0.0938 0.1227 0.9007
O 0.6255 0.1220 0.8733
CELL_PARAMETERS angstrom
-2.0288 1.7939 -7.9500
-8.8401 -2.7563 1.6340
-3.0644 11.8812 3.4630
```

density	2.498	g cm⁻³
polymorph energy (0 for the lowest one)	0	meV/atom
DOS(E_F)	0.0	states/eV per cell
crystal system	orthorhombic